Entry from the Alexandria database: a relaxed structure of NdNi4Sb2 (PBE-GGA).

Calculated values
Formation energy without anion corrections = -0.404 eV per atom
V = 17.0 Å³ per atom
Energy = -5.5661 eV per atom
Mass density = 8.686 g/cm3

a = 7.6750 Å, b = 7.6750 Å, c = 4.0409 Å
α = 90.00°, β = 90.00°, γ = 90.00°
Last column: nearest neighbours and their distance in Å.
Space group P4_2/mnm (No. 136)
Asymmetric unit:
Nd1 0.0000 0.0000 0.0000 (multiplicity 2)  6 Sb 3.05-3.12, 4 Ni 3.33
Ni1 0.0889 0.3610 0.5000 (multiplicity 8)  5 Ni 2.53-2.70, 3 Sb 2.58-2.60
Sb1 0.2188 0.7812 0.5000 (multiplicity 4)  6 Ni 2.58-2.60

=====

Entry from the Alexandria database: a relaxed structure of NdNiSb3 (PBE-GGA).

Calculated values
Formation energy without anion corrections = -0.567 eV per atom
V = 24.2 Å³ per atom
Energy = -5.1504 eV per atom
Mass density = 7.794 g/cm3

a = 12.7710 Å, b = 6.2036 Å, c = 6.1125 Å
α = 90.00°, β = 90.00°, γ = 90.00°
Last column: nearest neighbours and their distance in Å.
Space group Pbcm (No. 57)
Asymmetric unit:
Nd1 0.1959 0.0009 0.2500 (multiplicity 4)  9 Sb 3.25-3.34, 2 Ni 3.42
Ni1 0.4024 0.2500 0.0000 (multiplicity 4)  6 Sb 2.61-2.72
Sb1 0.0018 0.2500 0.0000 (multiplicity 4)  4 Sb 3.06-3.10, 4 Nd 3.30-3.34
Sb2 0.2825 0.5028 0.2500 (multiplicity 4)  2 Ni 2.67
Sb3 0.4496 0.5985 0.7500 (multiplicity 4)  4 Ni 2.61-2.72

=====

Entry from the Alexandria database: a relaxed structure of NdNi3Sb3 (PBE-GGA).

Calculated values
Formation energy without anion corrections = -0.162 eV per atom
V = 23.3 Å³ per atom
Energy = -5.0874 eV per atom
Mass density = 6.990 g/cm3

a = 6.8805 Å, b = 6.8805 Å, c = 6.8805 Å
α = 90.00°, β = 90.00°, γ = 90.00°
Last column: nearest neighbours and their distance in Å.
Space group Pm-3n (No. 223)
Asymmetric unit:
Nd1 0.0000 0.0000 0.0000 (multiplicity 2)  12 Sb 3.85, 12 Ni 3.85
Ni1 0.0000 0.2500 0.5000 (multiplicity 6)  4 Sb 2.43
Sb1 0.0000 0.5000 0.2500 (multiplicity 6)  4 Ni 2.43

=====

Entry from the Alexandria database: a relaxed structure of NdNiSb2 (PBE-GGA).

Calculated values
Formation energy without anion corrections = -0.728 eV per atom
V = 23.8 Å³ per atom
Energy = -5.4262 eV per atom
Mass density = 7.800 g/cm3

a = 4.4148 Å, b = 4.4148 Å, c = 9.7532 Å
α = 90.00°, β = 90.00°, γ = 90.00°
Last column: nearest neighbours and their distance in Å.
Space group P4/nmm (No. 129, origin choice 2)
Asymmetric unit:
Nd1 0.2500 0.2500 0.2411 (multiplicity 2)  4 Ni 3.23, 8 Sb 3.29-3.35
Ni1 0.2500 0.7500 0.0000 (multiplicity 2)  4 Sb 2.56
Sb1 0.2500 0.2500 0.8666 (multiplicity 2)  4 Ni 2.56
Sb2 0.2500 0.7500 0.5000 (multiplicity 2)  4 Sb 3.12, 4 Nd 3.35

=====

Entry from the Alexandria database: a relaxed structure of Nd3ScNi8 (PBE-GGA).

Calculated values
V = 15.7 Å³ per atom
Energy = -5.9236 eV per atom
Energy of formation = -0.350 eV/atom
Mass density = 8.351 g/cm3

a = 5.0987 Å, b = 5.0987 Å, c = 25.0988 Å
α = 90.00°, β = 90.00°, γ = 120.00°
Last column: nearest neighbours and their distance in Å.
Space group R3m (No. 160, hexagonal axes)
Asymmetric unit:
Nd1 0.0000 0.0000 0.0000 (multiplicity 3)  12 Ni 3.00-3.08, 4 Nd 3.16-3.17
Nd2 0.0000 0.0000 0.1261 (multiplicity 3)  12 Ni 2.90-2.99, 3 Sc 3.09, 1 Nd 3.17
Nd3 0.0000 0.0000 0.6205 (multiplicity 3)  12 Ni 2.98-3.13, 1 Sc 3.10, 3 Nd 3.16
Sc1 0.0000 0.0000 0.4968 (multiplicity 3)  12 Ni 2.90-2.99, 4 Nd 3.09-3.10
Ni1 0.0000 0.0000 0.3112 (multiplicity 3)  6 Ni 2.60
Ni2 0.0000 0.0000 0.8118 (multiplicity 3)  6 Ni 2.50-2.53
Ni3 0.0001 0.5001 0.5590 (multiplicity 9)  6 Ni 2.50-2.60
Ni4 0.0035 0.5018 0.0636 (multiplicity 9)  6 Ni 2.52-2.60

=====

Entry from the Alexandria database: a relaxed structure of NdSc3Ni8 (PBE-GGA).

Calculated values
V = 14.5 Å³ per atom
Energy = -6.2696 eV per atom
Energy of formation = -0.435 eV/atom
Mass density = 7.155 g/cm3

a = 4.9670 Å, b = 4.9670 Å, c = 8.1325 Å
α = 90.00°, β = 90.00°, γ = 120.00°
Last column: nearest neighbours and their distance in Å.
Space group P3m1 (No. 156)
Asymmetric unit:
Nd1 0.0000 0.0000 0.0000 (multiplicity 1)  12 Ni 2.92-3.00, 4 Sc 3.09-3.11
Sc1 0.0000 0.0000 0.3804 (multiplicity 1)  12 Ni 2.80-2.92, 3 Sc 3.00, 1 Nd 3.09
Sc2 0.6667 0.3333 0.4901 (multiplicity 1)  12 Ni 2.82-2.91, 4 Sc 2.95-3.00
Sc3 0.6667 0.3333 0.8526 (multiplicity 1)  12 Ni 2.87-3.10, 1 Sc 2.95, 3 Nd 3.11
Ni1 0.1671 0.3342 0.6755 (multiplicity 3)  6 Ni 2.45-2.52
Ni2 0.3333 0.6667 0.4310 (multiplicity 1)  6 Ni 2.43-2.45
Ni3 0.3333 0.6667 0.9301 (multiplicity 1)  6 Ni 2.52-2.57
Ni4 0.5014 0.0028 0.1907 (multiplicity 3)  6 Ni 2.43-2.57

=====

Entry from the Alexandria database: a relaxed structure of Nd2ScNi9 (PBE-GGA).

Calculated values
V = 14.6 Å³ per atom
Energy = -5.9673 eV per atom
Energy of formation = -0.309 eV/atom
Mass density = 8.179 g/cm3

a = 4.9405 Å, b = 4.9405 Å, c = 24.8272 Å
α = 90.00°, β = 90.00°, γ = 120.00°
Last column: nearest neighbours and their distance in Å.
Space group R-3m (No. 166, hexagonal axes)
Asymmetric unit:
Nd1 0.0000 0.0000 0.1366 (multiplicity 6)  9 Ni 2.85-2.95
Sc1 0.0000 0.0000 0.0000 (multiplicity 3)  18 Ni 2.85-3.15
Ni1 0.0000 0.0000 0.3330 (multiplicity 6)  6 Ni 2.42-2.43
Ni2 0.0000 0.0000 0.5000 (multiplicity 3)  6 Ni 2.60
Ni3 0.0006 0.5003 0.0790 (multiplicity 18)  7 Ni 2.42-2.60

=====

Entry from the Alexandria database: a relaxed structure of NdScNi2 (PBE-GGA).

Calculated values
V = 18.7 Å³ per atom
Energy = -5.9582 eV per atom
Energy of formation = -0.293 eV/atom
Mass density = 6.799 g/cm3

a = 6.6907 Å, b = 6.6907 Å, c = 6.6907 Å
α = 90.00°, β = 90.00°, γ = 90.00°
Last column: nearest neighbours and their distance in Å.
Space group Fm-3m (No. 225)
Asymmetric unit:
Nd1 0.0000 0.0000 0.0000 (multiplicity 4)  8 Ni 2.90
Sc1 0.0000 0.0000 0.5000 (multiplicity 4)  8 Ni 2.90
Ni1 0.2500 0.2500 0.2500 (multiplicity 8)  4 Nd 2.90, 4 Sc 2.90